Arrangement w

# LaCrP2Cl | Alexandria via LeMat-Bulk | PBE | optimized geometry
# Spin magnetization (μB/cell): 3.4
data_LaCrP2Cl
_chemical_formula_sum 'La1 Cr1 P2 Cl1'
_symmetry_space_group_name_H-M 'P 4/m m m'
_symmetry_Int_Tables_number 123
_symmetry_space_group_name_Hall '-P 4 2'
_cell_length_a 5.579
_cell_length_b 5.579
_cell_length_c 5.390
_cell_angle_alpha 90.00
_cell_angle_beta 90.00
_cell_angle_gamma 90.00
loop_
_atom_site_label
_atom_site_type_symbol
_atom_site_fract_x
_atom_site_fract_y
_atom_site_fract_z
_atom_site_occupancy
La1 La 0.000 0.000 0.000 1
Cr1 Cr 0.500 0.500 0.500 1
P1 P 0.000 0.500 0.000 1
Cl1 Cl 0.000 0.000 0.500 1


Arrangement x

# LaCrP2Cl | Alexandria via LeMat-Bulk | PBE | optimized geometry
# Spin magnetization (μB/cell): 2.5
data_LaCrP2Cl
_chemical_formula_sum 'La1 Cr1 P2 Cl1'
_symmetry_space_group_name_H-M 'P 4/m m m'
_symmetry_Int_Tables_number 123
_symmetry_space_group_name_Hall '-P 4 2'
_cell_length_a 4.601
_cell_length_b 4.601
_cell_length_c 4.813
_cell_angle_alpha 90.00
_cell_angle_beta 90.00
_cell_angle_gamma 90.00
loop_
_atom_site_label
_atom_site_type_symbol
_atom_site_fract_x
_atom_site_fract_y
_atom_site_fract_z
_atom_site_occupancy
La1 La 0.000 0.000 0.000 1
Cr1 Cr 0.500 0.500 0.500 1
P1 P 0.000 0.500 0.500 1
Cl1 Cl 0.500 0.500 0.000 1


arrangement x has the most favorable energy; the next structure is 1092 meV per atom above.